(1)
{
  "formula": "ThHS",
  "functional": "PBE-GGA",
  "state": "relaxed",
  "lattice_angstrom": [[-0.7597, 2.7105, -2.9217], [0.9678, -2.7598, -2.8119], [-5.7228, -1.8111, -0.1922]],
  "species": ["Th", "S", "H", "H", "Th", "S"],
  "fractional_positions": [[0.0000, 0.0000, 0.2148], [0.0000, 0.0000, 0.6940], [0.0000, 0.5000, 0.0000], [0.5000, 0.0000, 0.0000], [0.5000, 0.5000, 0.7852], [0.5000, 0.5000, 0.3060]]
}

=====

(2)
{
  "formula": "Th2HS",
  "functional": "PBE-GGA",
  "state": "relaxed",
  "lattice_angstrom": [[-1.5108, -2.6962, -2.2410], [-2.6940, -2.3320, 1.3702], [-6.4959, 2.9540, -2.4264]],
  "species": ["Th", "H", "Th", "S"],
  "fractional_positions": [[0.2655, 0.2655, 0.2036], [0.4610, 0.4610, 0.6170], [0.0938, 0.0938, 0.7186], [0.6797, 0.6797, 0.9608]]
}

=====

(3)
{
  "formula": "ThHS2",
  "functional": "PBE-GGA",
  "state": "relaxed",
  "lattice_angstrom": [[4.1333, 0.0000, 0.0000], [0.0000, 3.8316, 0.0002], [0.0000, 0.0022, 10.5940]],
  "species": ["H", "Th", "Th", "S", "H", "S", "S", "S"],
  "fractional_positions": [[0.2500, 0.2501, 0.5081], [0.2500, 0.7501, 0.8305], [0.7500, 0.2499, 0.1695], [0.7500, 0.7499, 0.3632], [0.7500, 0.7499, 0.4919], [0.2500, 0.2501, 0.6368], [0.2500, 0.7499, 0.1079], [0.7500, 0.2501, 0.8921]]
}

=====

no.,mass density (g/cm³),electronic total energy (eV/atom)
1,8.906,-6.275
2,9.075,-6.373
3,5.882,-5.897